*i*
A relaxed HfZnFeSb crystal. Source: the Open Quantum Materials Database, functional PBE-GGA.

## Properties
Spin magnetization: 1.29 μB per formula unit
Space group: F-43m, No. 216

a = 4.619 Å, b = 4.619 Å, c = 4.619 Å
α = 60.00°, β = 60.00°, γ = 60.00°
Sites, in units of the cell vectors:
Fe 0.750 0.750 0.750
Hf 0.250 0.250 0.250
Sb 0.000 0.000 0.000
Zn 0.500 0.500 0.500

*ii*
A relaxed HfZnFeSb crystal. Source: the Open Quantum Materials Database, functional PBE-GGA.

## Properties
Spin magnetization: 0.76 μB per formula unit
Space group: F-43m, No. 216

a = 4.561 Å, b = 4.561 Å, c = 4.561 Å
α = 60.00°, β = 60.00°, γ = 60.00°
Sites, in units of the cell vectors:
Fe 0.750 0.750 0.750
Hf 0.500 0.500 0.500
Sb 0.000 0.000 0.000
Zn 0.250 0.250 0.250

Quick one: most stable of them? *ii*

*i*
A relaxed HfFeSiTc crystal. Source: the Open Quantum Materials Database, functional PBE-GGA.

## Properties
Spin magnetization: 0.91 μB per formula unit
Space group: F-43m, No. 216

a = 4.306 Å, b = 4.306 Å, c = 4.306 Å
α = 60.00°, β = 60.00°, γ = 60.00°
Sites, in units of the cell vectors:
Fe 0.750 0.750 0.750
Hf 0.500 0.500 0.500
Si 0.000 0.000 0.000
Tc 0.250 0.250 0.250

*ii*
A relaxed HfFeSiTc crystal. Source: the Open Quantum Materials Database, functional PBE-GGA.

## Properties
Spin magnetization: 3.84 μB per formula unit
Space group: F-43m, No. 216

a = 4.412 Å, b = 4.412 Å, c = 4.412 Å
α = 60.00°, β = 60.00°, γ = 60.00°
Sites, in units of the cell vectors:
Fe 0.750 0.750 0.750
Hf 0.250 0.250 0.250
Si 0.000 0.000 0.000
Tc 0.500 0.500 0.500

Quick one: most stable of them? *i*

*i*
A relaxed TmHfFeSi2 crystal. Source: the Open Quantum Materials Database, functional PBE-GGA.

## Properties
Spin magnetization: 0.02 μB per formula unit
Space group: C2/m, No. 12

a = 5.390 Å, b = 5.390 Å, c = 9.628 Å
α = 116.27°, β = 116.27°, γ = 43.19°
Sites, in units of the cell vectors:
Fe 0.271 0.271 0.119
Fe 0.729 0.729 0.881
Hf 0.996 0.996 0.168
Hf 0.004 0.004 0.832
Si 0.645 0.645 0.067
Si 0.506 0.506 0.365
Si 0.494 0.494 0.635
Si 0.355 0.355 0.933
Tm 0.811 0.811 0.394
Tm 0.189 0.189 0.606

*ii*
A relaxed TmHfFeSi2 crystal. Source: the Open Quantum Materials Database, functional PBE-GGA.

## Properties
Spin magnetization: 0.04 μB per formula unit
Space group: C2/m, No. 12

a = 5.364 Å, b = 5.364 Å, c = 9.662 Å
α = 117.16°, β = 117.16°, γ = 43.69°
Sites, in units of the cell vectors:
Fe 0.723 0.723 0.372
Fe 0.277 0.277 0.628
Hf 0.184 0.184 0.100
Hf 0.816 0.816 0.900
Si 0.489 0.489 0.121
Si 0.345 0.345 0.428
Si 0.655 0.655 0.572
Si 0.511 0.511 0.879
Tm 0.992 0.992 0.322
Tm 0.008 0.008 0.678

Quick one: most stable of them? *i*